1.
DFT (PBE) results for a relaxed structure of Hf6MnPd12.

```
data_Hf6MnPd12
_chemical_formula_sum 'Hf18 Mn3 Pd36'
_symmetry_space_group_name_H-M 'R -3'
_symmetry_Int_Tables_number 148
_symmetry_space_group_name_Hall '-R 3'
_cell_length_a 10.1765
_cell_length_b 10.1765
_cell_length_c 11.0894
_cell_angle_alpha 90.00
_cell_angle_beta 90.00
_cell_angle_gamma 120.00
loop_
_atom_site_label
_atom_site_fract_x
_atom_site_fract_y
_atom_site_fract_z
Hf1 0.0164 0.4241 0.2328
Mn1 0.0000 0.0000 0.5000
Pd1 0.0496 0.1862 0.3282
Pd2 0.0571 0.8682 0.8970
```


2.
DFT (PBE) results for a relaxed structure of HfMnPd14.

```
data_HfMnPd14
_chemical_formula_sum 'Hf1 Mn1 Pd14'
_symmetry_space_group_name_H-M 'P 4/m m m'
_symmetry_Int_Tables_number 123
_symmetry_space_group_name_Hall '-P 4 2'
_cell_length_a 5.6215
_cell_length_b 5.6215
_cell_length_c 7.8719
_cell_angle_alpha 90.00
_cell_angle_beta 90.00
_cell_angle_gamma 90.00
loop_
_atom_site_label
_atom_site_fract_x
_atom_site_fract_y
_atom_site_fract_z
Hf1 0.0000 0.0000 0.0000
Mn1 0.5000 0.5000 0.0000
Pd1 0.0000 0.0000 0.5000
Pd2 0.0000 0.5000 0.0000
Pd3 0.0000 0.5000 0.5000
Pd4 0.2505 0.2505 0.2466
Pd5 0.5000 0.5000 0.5000
```


no.,mass density (g/cm³),energy of formation from the pure elements (eV/atom)
1,12.036,-0.58
2,11.503,-0.28